1.
# Ba2Cu

A geometry-optimized Ba2Cu structure (PBE-GGA, the Alexandria database).

a b c (Å): 6.846 6.846 6.846
angles (deg): 107.92 107.92 112.62
Fractional coordinates of all 6 atoms:
Ba 0.188 0.688 0.876
Ba 0.312 0.188 0.500
Ba 0.688 0.812 0.500
Ba 0.812 0.312 0.124
Cu 0.250 0.250 0.000
Cu 0.750 0.750 0.000

Results
The energy of formation comes out at 0.0593 eV/atom.

=====

2.
# TcI3Br

A geometry-optimized TcI3Br structure (PBE-GGA, the Alexandria database).

a b c (Å): 5.461 5.461 5.461
angles (deg): 90.00 90.00 90.00
Fractional coordinates of all 5 atoms:
Tc 0.000 0.000 0.000
I 0.000 0.000 0.500
I 0.000 0.500 0.000
I 0.500 0.000 0.000
Br 0.500 0.500 0.500

Results
The value obtained for the formation energy from raw total energies is 0.34 eV/atom.

=====

3.
# La4Zn2Ag3

A geometry-optimized La4Zn2Ag3 structure (PBE-GGA, the Alexandria database).

a b c (Å): 5.238 5.238 9.787
angles (deg): 90.00 90.00 120.00
Fractional coordinates of all 9 atoms:
La 0.000 0.000 0.158
La 0.000 0.000 0.842
La 0.333 0.667 0.388
La 0.667 0.333 0.612
Zn 0.333 0.667 0.720
Zn 0.667 0.333 0.280
Ag 0.000 0.000 0.500
Ag 0.333 0.667 0.005
Ag 0.667 0.333 0.995

Results
The energy of formation comes out at -0.2314 eV/atom.

=====

4.
# Nd6Dy4Th

A geometry-optimized Nd6Dy4Th structure (PBE-GGA, the Alexandria database).

a b c (Å): 5.687 5.687 25.929
angles (deg): 90.00 90.00 117.45
Fractional coordinates of all 22 atoms:
Nd 0.000 0.000 0.000
Nd 0.000 0.000 0.500
Nd 0.059 0.941 0.750
Nd 0.294 0.706 0.100
Nd 0.294 0.706 0.400
Nd 0.386 0.614 0.681
Nd 0.386 0.614 0.819
Nd 0.614 0.386 0.181
Nd 0.614 0.386 0.319
Nd 0.706 0.294 0.600
Nd 0.706 0.294 0.900
Nd 0.941 0.059 0.250
Dy 0.052 0.948 0.624
Dy 0.052 0.948 0.876
Dy 0.351 0.649 0.543
Dy 0.351 0.649 0.957
Dy 0.649 0.351 0.043
Dy 0.649 0.351 0.457
Dy 0.948 0.052 0.124
Dy 0.948 0.052 0.376
Th 0.283 0.717 0.250
Th 0.717 0.283 0.750

Results
The energy of formation comes out at 0.1414 eV/atom.

=====

5.
# ErTm6Ni3

A geometry-optimized ErTm6Ni3 structure (PBE-GGA, the Alexandria database).

a b c (Å): 8.360 8.360 6.984
angles (deg): 90.00 90.00 99.90
Fractional coordinates of all 20 atoms:
Er 0.180 0.820 0.500
Er 0.820 0.180 0.000
Tm 0.081 0.464 0.730
Tm 0.130 0.204 0.377
Tm 0.204 0.130 0.877
Tm 0.274 0.726 0.039
Tm 0.464 0.081 0.230
Tm 0.469 0.531 0.383
Tm 0.531 0.469 0.883
Tm 0.536 0.919 0.730
Tm 0.726 0.274 0.539
Tm 0.796 0.870 0.377
Tm 0.870 0.796 0.877
Tm 0.919 0.536 0.230
Ni 0.083 0.917 0.169
Ni 0.197 0.411 0.092
Ni 0.411 0.197 0.592
Ni 0.589 0.803 0.092
Ni 0.803 0.589 0.592
Ni 0.917 0.083 0.669

Results
The energy of formation comes out at -0.2661 eV/atom.

=====

6.
# Er3Ge5O12

A geometry-optimized Er3Ge5O12 structure (PBE-GGA, the Alexandria database).

a b c (Å): 11.051 11.051 11.051
angles (deg): 109.47 109.47 109.47
Fractional coordinates of all 80 atoms:
Er 0.125 0.250 0.375
Er 0.125 0.375 0.750
Er 0.250 0.375 0.125
Er 0.250 0.875 0.625
Er 0.375 0.125 0.250
Er 0.375 0.750 0.125
Er 0.625 0.250 0.875
Er 0.625 0.875 0.750
Er 0.750 0.125 0.375
Er 0.750 0.625 0.875
Er 0.875 0.625 0.250
Er 0.875 0.750 0.625
Ge 0.000 0.000 0.000
Ge 0.000 0.000 0.500
Ge 0.000 0.500 0.000
Ge 0.000 0.500 0.500
Ge 0.125 0.750 0.875
Ge 0.125 0.875 0.250
Ge 0.250 0.125 0.875
Ge 0.250 0.625 0.375
Ge 0.375 0.250 0.625
Ge 0.375 0.625 0.750
Ge 0.500 0.000 0.000
Ge 0.500 0.000 0.500
Ge 0.500 0.500 0.000
Ge 0.500 0.500 0.500
Ge 0.625 0.375 0.250
Ge 0.625 0.750 0.375
Ge 0.750 0.375 0.625
Ge 0.750 0.875 0.125
Ge 0.875 0.125 0.750
Ge 0.875 0.250 0.125
O 0.033 0.229 0.134
O 0.033 0.305 0.899
O 0.095 0.729 0.695
O 0.095 0.866 0.399
O 0.101 0.634 0.405
O 0.101 0.967 0.695
O 0.134 0.033 0.229
O 0.134 0.601 0.905
O 0.195 0.229 0.595
O 0.195 0.467 0.601
O 0.229 0.134 0.033
O 0.229 0.595 0.195
O 0.271 0.305 0.905
O 0.271 0.467 0.366
O 0.305 0.899 0.033
O 0.305 0.905 0.271
O 0.366 0.271 0.467
O 0.366 0.595 0.899
O 0.399 0.095 0.866
O 0.399 0.805 0.533
O 0.405 0.101 0.634
O 0.405 0.805 0.771
O 0.467 0.366 0.271
O 0.467 0.601 0.195
O 0.533 0.399 0.805
O 0.533 0.634 0.729
O 0.595 0.195 0.229
O 0.595 0.899 0.366
O 0.601 0.195 0.467
O 0.601 0.905 0.134
O 0.634 0.405 0.101
O 0.634 0.729 0.533
O 0.695 0.095 0.729
O 0.695 0.101 0.967
O 0.729 0.533 0.634
O 0.729 0.695 0.095
O 0.771 0.405 0.805
O 0.771 0.866 0.967
O 0.805 0.533 0.399
O 0.805 0.771 0.405
O 0.866 0.399 0.095
O 0.866 0.967 0.771
O 0.899 0.033 0.305
O 0.899 0.366 0.595
O 0.905 0.134 0.601
O 0.905 0.271 0.305
O 0.967 0.695 0.101
O 0.967 0.771 0.866

Results
The value obtained for the formation energy from raw total energies is -2.12 eV/atom.

=====

7.
# PmDy3ErTh

A geometry-optimized PmDy3ErTh structure (PBE-GGA, the Alexandria database).

a b c (Å): 10.427 10.427 6.911
angles (deg): 91.68 91.68 31.28
Fractional coordinates of all 12 atoms:
Pm 0.145 0.145 0.460
Pm 0.855 0.855 0.540
Dy 0.021 0.021 0.754
Dy 0.280 0.280 0.744
Dy 0.339 0.339 0.240
Dy 0.661 0.661 0.760
Dy 0.720 0.720 0.256
Dy 0.979 0.979 0.246
Er 0.151 0.151 0.027
Er 0.849 0.849 0.973
Th 0.443 0.443 0.785
Th 0.557 0.557 0.215

Results
The energy of formation comes out at 0.2165 eV/atom.

=====

8.
# Na3TeS2

A geometry-optimized Na3TeS2 structure (PBE-GGA, the Alexandria database).

a b c (Å): 8.130 8.130 8.130
angles (deg): 130.58 71.61 131.67
Fractional coordinates of all 12 atoms:
Na 0.023 0.750 0.273
Na 0.250 0.250 0.000
Na 0.477 0.750 0.727
Na 0.523 0.250 0.273
Na 0.750 0.750 0.000
Na 0.977 0.250 0.727
Te 0.000 0.500 0.500
Te 0.500 0.000 0.500
S 0.138 0.207 0.346
S 0.362 0.707 0.069
S 0.638 0.293 0.931
S 0.862 0.793 0.654

Results
The value obtained for the formation energy from raw total energies is -0.80 eV/atom.

=====

9.
# Pr8SiP3S4

A geometry-optimized Pr8SiP3S4 structure (PBE-GGA, the Alexandria database).

a b c (Å): 8.361 8.361 8.361
angles (deg): 60.00 60.00 60.00
Fractional coordinates of all 16 atoms:
Pr 0.247 0.247 0.247
Pr 0.247 0.749 0.749
Pr 0.251 0.251 0.753
Pr 0.251 0.753 0.251
Pr 0.749 0.247 0.749
Pr 0.749 0.749 0.247
Pr 0.753 0.251 0.251
Pr 0.753 0.753 0.753
Si 0.500 0.500 0.500
P 0.000 0.000 0.500
P 0.000 0.500 0.000
P 0.500 0.000 0.000
S 0.000 0.000 0.000
S 0.000 0.500 0.500
S 0.500 0.000 0.500
S 0.500 0.500 0.000

Results
The value obtained for the formation energy from raw total energies is -1.72 eV/atom.

=====

10.
# Li2RhPb

A geometry-optimized Li2RhPb structure (PBE-GGA, the Alexandria database).

a b c (Å): 3.878 4.010 4.295
angles (deg): 90.00 90.00 90.00
Fractional coordinates of all 4 atoms:
Li 0.000 0.000 0.000
Li 0.500 0.500 0.000
Rh 0.000 0.500 0.500
Pb 0.500 0.000 0.500

Results
The energy of formation comes out at -0.2296 eV/atom.

=====

11.
# Rb2SmTlSe4

A geometry-optimized Rb2SmTlSe4 structure (PBE-GGA, the Alexandria database).

a b c (Å): 9.030 9.030 8.887
angles (deg): 119.34 119.34 91.50
Fractional coordinates of all 16 atoms:
Rb 0.000 0.000 0.000
Rb 0.000 0.000 0.500
Rb 0.000 0.500 0.000
Rb 0.500 0.000 0.500
Sm 0.500 0.500 0.000
Sm 0.500 0.500 0.500
Tl 0.000 0.500 0.500
Tl 0.500 0.000 0.000
Se 0.264 0.732 0.534
Se 0.268 0.736 0.966
Se 0.273 0.293 0.534
Se 0.293 0.273 0.034
Se 0.707 0.727 0.966
Se 0.727 0.707 0.466
Se 0.732 0.264 0.034
Se 0.736 0.268 0.466

Results
The value obtained for the formation energy from raw total energies is -1.08 eV/atom.

=====

12.
# TbTmCdAg

A geometry-optimized TbTmCdAg structure (PBE-GGA, the Alexandria database).

a b c (Å): 3.670 3.670 7.354
angles (deg): 90.00 90.00 90.00
Fractional coordinates of all 4 atoms:
Tb 0.000 0.000 0.000
Tm 0.000 0.000 0.483
Cd 0.500 0.500 0.736
Ag 0.500 0.500 0.251

Results
The energy of formation comes out at -0.3160 eV/atom.

=====

13.
# InBiPd6

A geometry-optimized InBiPd6 structure (PBE-GGA, the Alexandria database).

a b c (Å): 4.078 4.078 8.198
angles (deg): 90.00 90.00 90.00
Fractional coordinates of all 8 atoms:
In 0.000 0.000 0.000
Bi 0.000 0.000 0.500
Pd 0.000 0.500 0.245
Pd 0.000 0.500 0.755
Pd 0.500 0.000 0.245
Pd 0.500 0.000 0.755
Pd 0.500 0.500 0.000
Pd 0.500 0.500 0.500

Results
The energy of formation comes out at -0.3700 eV/atom.

=====

14.
# SrTa2H2

A geometry-optimized SrTa2H2 structure (PBE-GGA, the Alexandria database).

a b c (Å): 6.723 6.723 6.723
angles (deg): 146.08 146.08 48.73
Fractional coordinates of all 5 atoms:
Sr 0.000 0.000 0.000
Ta 0.250 0.750 0.500
Ta 0.750 0.250 0.500
H 0.297 0.297 0.000
H 0.703 0.703 0.000

Results
The calculation puts the energy at -6.0610 eV/atom.

=====

15.
# Nd5CoHg2

A geometry-optimized Nd5CoHg2 structure (PBE-GGA, the Alexandria database).

a b c (Å): 8.022 8.022 12.416
angles (deg): 90.00 90.00 137.13
Fractional coordinates of all 16 atoms:
Nd 0.068 0.932 0.606
Nd 0.068 0.932 0.894
Nd 0.317 0.683 0.579
Nd 0.317 0.683 0.921
Nd 0.329 0.671 0.250
Nd 0.671 0.329 0.750
Nd 0.683 0.317 0.079
Nd 0.683 0.317 0.421
Nd 0.932 0.068 0.106
Nd 0.932 0.068 0.394
Co 0.196 0.804 0.750
Co 0.804 0.196 0.250
Hg 0.141 0.859 0.132
Hg 0.141 0.859 0.368
Hg 0.859 0.141 0.632
Hg 0.859 0.141 0.868

Results
The energy of formation comes out at 0.0194 eV/atom.

=====

16.
# BeAuBr2

A geometry-optimized BeAuBr2 structure (PBE-GGA, the Alexandria database).

a b c (Å): 7.744 7.744 7.744
angles (deg): 151.85 151.85 40.24
Fractional coordinates of all 4 atoms:
Be 0.000 0.000 0.000
Au 0.750 0.250 0.500
Br 0.250 0.750 0.500
Br 0.500 0.500 0.000

Results
The value obtained for the formation energy from raw total energies is 0.40 eV/atom.

=====

17.
# LaPa4Te8

A geometry-optimized LaPa4Te8 structure (PBE-GGA, the Alexandria database).

a b c (Å): 8.831 8.831 8.831
angles (deg): 60.00 60.00 60.00
Fractional coordinates of all 13 atoms:
La 0.000 0.000 0.000
Pa 0.184 0.605 0.605
Pa 0.605 0.184 0.605
Pa 0.605 0.605 0.184
Pa 0.605 0.605 0.605
Te 0.364 0.364 0.364
Te 0.364 0.364 0.908
Te 0.364 0.908 0.364
Te 0.424 0.859 0.859
Te 0.859 0.424 0.859
Te 0.859 0.859 0.424
Te 0.859 0.859 0.859
Te 0.908 0.364 0.364

Results
The value obtained for the formation energy from raw total energies is -0.78 eV/atom.

=====

18.
# FeCo

A geometry-optimized FeCo structure (PBE-GGA, the Alexandria database).

a b c (Å): 6.373 6.373 2.833
angles (deg): 90.00 90.00 143.44
Fractional coordinates of all 6 atoms:
Fe 0.000 0.000 0.000
Fe 0.166 0.834 0.500
Fe 0.834 0.166 0.500
Co 0.332 0.668 0.000
Co 0.500 0.500 0.500
Co 0.668 0.332 0.000

Results
The energy of formation comes out at -0.0219 eV/atom.